1.
ZnSb2Te, relaxed, DFT PBE-GGA; SG = Imm2; E_form (uncorrected) = 0.116 eV per atom
1.0
-2.3201 -0.3894 -6.1670
-5.5221 -3.1643 -1.7491
2.6843 4.5763 3.9266
Sb Te Zn
2 1 1
Cartesian
-7.2861 -3.3017 -7.3547
-3.4475 -0.2133 -0.9589
-4.4540 -2.0183 -4.4960
-1.7338 1.2253 -3.0541

---

2.
ZnSb2Te, relaxed, DFT PBE-GGA; SG = P4/mmm; E_form (uncorrected) = 0.210 eV per atom
1.0
-0.6636 0.6084 3.2660
-0.6494 -3.2900 0.4809
8.7400 -1.4267 2.0417
Sb Zn Te
2 1 1
Cartesian
8.1619 -1.3324 1.9067
4.9481 -0.8077 1.1559
5.8985 -2.4109 3.4047
1.5285 -1.6975 2.3839

---

Number 2 is which compound? ZnSb2Te